No. 1
A relaxed structure of CeDyBi2, computed with PBE.

a b c (Å): 4.1387 4.1387 6.9239
angles (deg): 90.00 90.00 90.00
Sites, in units of the cell vectors:
Bi1 0.0000 0.0000 0.7537
Bi2 0.0000 0.0000 0.2463
Ce1 0.5000 0.5000 0.5000
Dy1 0.5000 0.5000 0.0000

distance to the lowest polymorph of the same formula	0.196	eV per atom
space-group type	P4/mmm (123)
magnetization	0.29	μB/atom

---

No. 2
A relaxed structure of Ce4DyBi6, computed with PBE.

a b c (Å): 8.9771 8.9771 8.9771
angles (deg): 91.34 91.34 88.66
Sites, in units of the cell vectors:
Ce1 0.3608 0.1392 0.2500
Ce2 0.8608 0.2500 0.3608
Ce3 0.2500 0.6392 0.1392
Ce4 0.2500 0.2500 0.7500
Ce5 0.7500 0.7500 0.2500
Ce6 0.7500 0.3608 0.8608
Ce7 0.1392 0.7500 0.6392
Ce8 0.6392 0.8608 0.7500
Dy1 0.5000 0.5000 0.5000
Dy2 0.0000 0.0000 0.0000
Bi1 0.6730 0.0656 0.0791
Bi2 0.0791 0.3270 0.0656
Bi3 0.5791 0.4344 0.1730
Bi4 0.9344 0.0791 0.6730
Bi5 0.5656 0.1730 0.5791
Bi6 0.1730 0.4209 0.4344
Bi7 0.8270 0.5791 0.5656
Bi8 0.4344 0.8270 0.4209
Bi9 0.0656 0.9209 0.3270
Bi10 0.4209 0.5656 0.8270
Bi11 0.9209 0.6730 0.9344
Bi12 0.3270 0.9344 0.9209

E_tot	-117.7	eV/cell
space-group type	R-3c (167)
magnetization	0.23	μB/atom

---

No. 3
A relaxed structure of CeDy2Bi, computed with PBE.

a b c (Å): 4.7068 4.9320 4.9320
angles (deg): 90.00 90.00 90.00
Sites, in units of the cell vectors:
Bi1 0.5000 0.0000 0.0000
Ce1 0.5000 0.5000 0.5000
Dy1 0.0000 0.0000 0.5000
Dy2 0.0000 0.5000 0.0000

distance to the lowest polymorph of the same formula	0.000	eV per atom
space-group type	P4/mmm (123)
magnetization	0.16	μB/atom

---

No. 4
A relaxed structure of Ce2DyBi4, computed with PBE.

a b c (Å): 8.2459 8.2459 8.2459
angles (deg): 109.51 109.39 109.51
Sites, in units of the cell vectors:
Bi1 0.7842 0.2524 0.8789
Bi2 0.9658 0.5948 0.7182
Bi3 0.6266 0.7476 0.5318
Bi4 0.1234 0.4052 0.3711
Bi5 0.4682 0.0948 0.2158
Bi6 0.6289 0.7524 0.0342
Bi7 0.2818 0.2476 0.8766
Bi8 0.1211 0.9052 0.3734
Ce1 0.3750 0.8736 0.7486
Ce2 0.4986 0.3736 0.6250
Ce3 0.8750 0.1264 0.5014
Ce4 0.2514 0.6264 0.1250
Dy1 0.7500 0.5000 0.2500
Dy2 0.0000 0.0000 0.0000

E_tot	-73.6	eV/cell
space-group type	I-42d (122)
magnetization	0.05	μB/atom

---

No. 5
A relaxed structure of CeDy3Bi2, computed with PBE.

a b c (Å): 4.3559 10.8395 10.0532
angles (deg): 125.20 90.00 101.59
Sites, in units of the cell vectors:
Ce1 0.8895 0.7791 0.8947
Ce2 0.1105 0.2209 0.1053
Dy1 0.3114 0.6228 0.5119
Dy2 0.9427 0.8855 0.5547
Dy3 0.6390 0.2779 0.8028
Dy4 0.3610 0.7221 0.1972
Dy5 0.0573 0.1145 0.4453
Dy6 0.6886 0.3772 0.4881
Bi1 0.4891 0.9783 0.8202
Bi2 0.5109 0.0217 0.1798
Bi3 0.7516 0.5032 0.2154
Bi4 0.2484 0.4968 0.7846

E_tot	-60.4	eV/cell
space-group type	C2/m (12)
magnetization	0.23	μB/atom

---

No. 6
A relaxed structure of CeDy5Bi6, computed with PBE.

a b c (Å): 7.7946 7.7876 7.7908
angles (deg): 60.01 80.40 70.50
Sites, in units of the cell vectors:
Ce1 0.0000 0.0000 0.0000
Dy1 0.5000 0.1650 0.6699
Dy2 0.0000 0.3329 0.3342
Dy3 0.5000 0.5000 0.0000
Dy4 0.0000 0.6671 0.6658
Dy5 0.5000 0.8350 0.3301
Bi1 0.7473 0.0843 0.3364
Bi2 0.2527 0.5792 0.3364
Bi3 0.2506 0.2531 0.0000
Bi4 0.7494 0.7469 0.0000
Bi5 0.7473 0.4208 0.6636
Bi6 0.2527 0.9157 0.6636

E_tot	-62.4	eV/cell
space-group type	C2/m (12)
magnetization	0.06	μB/atom

---

No. 7
A relaxed structure of Ce2DyBi2, computed with PBE.

a b c (Å): 4.2645 4.2645 8.6886
angles (deg): 75.77 75.77 90.03
Sites, in units of the cell vectors:
Ce1 0.2530 0.7470 0.5000
Ce2 0.7470 0.2530 0.5000
Dy1 0.0000 0.0000 0.0000
Bi1 0.4004 0.4004 0.1962
Bi2 0.5996 0.5996 0.8038

E_tot	-26.2	eV/cell
space-group type	C2/m (12)
magnetization	0.10	μB/atom

---

No. 8
A relaxed structure of CeDy5Bi5, computed with PBE.

a b c (Å): 6.3127 7.6746 8.8755
angles (deg): 106.59 90.00 114.28
Sites, in units of the cell vectors:
Ce1 0.0000 0.0000 0.0000
Dy1 0.6618 0.3237 0.3365
Dy2 0.6649 0.3298 0.8294
Dy3 0.0000 0.0000 0.5000
Dy4 0.3351 0.6702 0.1706
Dy5 0.3382 0.6763 0.6635
Bi1 0.8287 0.6574 0.1703
Bi2 0.8316 0.6631 0.6611
Bi3 0.5000 0.0000 0.0000
Bi4 0.1684 0.3369 0.3389
Bi5 0.1713 0.3426 0.8297

E_tot	-55.5	eV/cell
space-group type	C2/m (12)
magnetization	0.09	μB/atom

---

No. 9
A relaxed structure of CeDyBi, computed with PBE.

a b c (Å): 5.1369 5.1369 8.8953
angles (deg): 73.22 73.22 60.00
Sites, in units of the cell vectors:
Ce1 0.8561 0.8561 0.4316
Ce2 0.1439 0.1439 0.5684
Dy1 0.7125 0.7125 0.8624
Dy2 0.2875 0.2875 0.1376
Bi1 0.5837 0.5837 0.2490
Bi2 0.4163 0.4163 0.7510

E_tot	-30.4	eV/cell
space-group type	R-3m (166)
magnetization	0.57	μB/atom

---

No. 10
A relaxed structure of CeDyBi, computed with PBE.

a b c (Å): 4.1153 4.1153 6.0663
angles (deg): 109.83 109.83 90.00
Sites, in units of the cell vectors:
Bi1 0.6225 0.6225 0.2450
Ce1 0.9600 0.9600 0.9199
Dy1 0.2675 0.2675 0.5350

E_tot	-15.6	eV/cell
space-group type	I4mm (107)
magnetization	0.41	μB/atom

---

No. 11
A relaxed structure of CeDyBi2, computed with PBE.

a b c (Å): 4.6821 4.4160 12.7353
angles (deg): 99.98 90.00 90.00
Sites, in units of the cell vectors:
Ce1 0.2500 0.4404 0.8808
Ce2 0.7500 0.5596 0.1192
Dy1 0.2500 0.1874 0.3748
Dy2 0.7500 0.8126 0.6252
Bi1 0.7500 0.6875 0.3751
Bi2 0.2500 0.3125 0.6249
Bi3 0.7500 0.9413 0.8825
Bi4 0.2500 0.0587 0.1175

distance to the lowest polymorph of the same formula	0.066	eV per atom
space-group type	Cmcm (63)
magnetization	0.23	μB/atom

---

Copy entry 1 word for word.
A relaxed structure of CeDyBi2, computed with PBE.

a b c (Å): 4.1387 4.1387 6.9239
angles (deg): 90.00 90.00 90.00
Sites, in units of the cell vectors:
Bi1 0.0000 0.0000 0.7537
Bi2 0.0000 0.0000 0.2463
Ce1 0.5000 0.5000 0.5000
Dy1 0.5000 0.5000 0.0000

distance to the lowest polymorph of the same formula	0.196	eV per atom
space-group type	P4/mmm (123)
magnetization	0.29	μB/atom

---

magnetization of number 5 (CeDy3Bi2)?
0.23 μB/atom